Entry from Alexandria via LeMat-Bulk: an optimized crystal structure of LiTcF3 (PBE-GGA).

Cell: 3.792 3.792 3.792 Å, 90.00 90.00 90.00°
Space group Pm-3m (No. 221)
Asymmetric unit:
Li (0.000, 0.000, 0.000) (multiplicity 1)
Tc (0.500, 0.500, 0.500) (multiplicity 1)
F (0.000, 0.000, 0.500) (multiplicity 3)

Calculated values
* ΔE_f (raw): -159.24 kJ per mole of atoms
* total energy: -26.146 eV per formula unit
* energy relative to the lowest polymorph listed for this composition: 0 meV/atom
* Fermi-level density of states: 0.000 states/eV per cell

Entry from Alexandria via LeMat-Bulk: an optimized crystal structure of AcAl2SbO8 (PBE-GGA).

Cell: 5.5176 5.5176 6.9573 Å, 90.00 90.00 120.00°
Space group P-3 (No. 147)
Asymmetric unit:
Ac (0.0000, 0.0000, 0.0000) (multiplicity 1)
Al (0.3333, 0.6667, 0.7362) (multiplicity 2)
Sb (0.0000, 0.0000, 0.5000) (multiplicity 1)
O (0.1202, 0.3132, 0.6833) (multiplicity 6)
O (0.3333, 0.6667, 0.9951) (multiplicity 2)

Calculated values
* ΔE_f (raw): -205.06 kJ per mole of atoms
* total energy: -80.885 eV per formula unit
* Fermi-level density of states: 7.087 states/eV per cell

Entry from Alexandria via LeMat-Bulk: an optimized crystal structure of Tb2Th (PBE-GGA).

Cell: 6.230 3.603 8.816 Å, 90.00 103.68 90.00°
Space group C2/m (No. 12)
Asymmetric unit:
Tb (0.224, 0.000, 0.172) (multiplicity 4)
Th (0.000, 0.000, 0.500) (multiplicity 2)

Calculated values
* formation energy from the elements: -0.009 eV/atom
* total energy: -16.708 eV per formula unit
* energy relative to the lowest polymorph listed for this composition: 0 meV/atom
* Fermi-level density of states: 7.726 states/eV per cell

Entry from Alexandria via LeMat-Bulk: an optimized crystal structure of Mn2VHg (PBE-GGA).

Cell: 3.949 3.949 18.089 Å, 90.00 90.00 90.00°
Space group I-42d (No. 122)
Asymmetric unit:
Mn (0.231, 0.250, 0.125) (multiplicity 8)
V (0.000, 0.000, 0.000) (multiplicity 4)
Hg (0.000, 0.000, 0.500) (multiplicity 4)

Calculated values
* formation energy from the elements: 0.711 eV/atom
* total energy: -24.917 eV per formula unit
* Fermi-level density of states: 19.052 states/eV per cell

Entry from Alexandria via LeMat-Bulk: an optimized crystal structure of AcPm3Cu4 (PBE-GGA).

Cell: 5.139 5.139 7.212 Å, 90.00 90.00 90.00°
Space group P4/mmm (No. 123)
Asymmetric unit:
Ac (0.000, 0.000, 0.000) (multiplicity 1)
Pm (0.000, 0.000, 0.500) (multiplicity 1)
Pm (0.500, 0.500, 0.000) (multiplicity 1)
Pm (0.500, 0.500, 0.500) (multiplicity 1)
Cu (0.000, 0.500, 0.267) (multiplicity 4)

Calculated values
* formation energy from the elements: -0.131 eV/atom
* total energy: -35.790 eV per formula unit
* Fermi-level density of states: 5.523 states/eV per cell

Entry from Alexandria via LeMat-Bulk: an optimized crystal structure of Ca2TlBr (PBE-GGA).

Cell: 4.996 3.962 12.822 Å, 90.00 90.00 90.00°
Space group Amm2 (No. 38)
Asymmetric unit:
Ca (0.000, 0.000, 0.000) (multiplicity 2)
Ca (0.500, 0.000, 0.263) (multiplicity 2)
Tl (0.000, 0.000, 0.730) (multiplicity 2)
Br (0.500, 0.000, 0.490) (multiplicity 2)

Calculated values
* ΔE_f (raw): -75.56 kJ per mole of atoms
* total energy: -11.175 eV per formula unit
* energy relative to the lowest polymorph listed for this composition: 138 meV/atom
* Fermi-level density of states: 7.468 states/eV per cell